[1]
Density functional theory data (PBE) for a relaxed structure of Sc2GaP.

## Properties
calculated formation energy: -621.6 meV/atom
relative energy among the computed polymorphs: 422 meV per atom
raw total energy: -5.897 eV/atom
calculated volume: 160.88 Å³/cell

a b c (Å): 7.1812 7.1812 5.9597
angles (deg): 52.95 52.95 90.00
With the nearest neighbours (Å) after each atom.
Sites, in units of the cell vectors:
1 Sc 0.6038 0.1250 0.2500  2 P 2.56, 2 Ga 2.76
2 Sc 0.1462 0.6250 0.2500  2 P 2.56, 2 Ga 2.76
3 Sc 0.3750 0.3962 0.7500  2 P 2.56, 2 Ga 2.76
4 Sc 0.8750 0.8538 0.7500  2 P 2.56, 2 Ga 2.76
5 P 0.5000 0.5000 0.0000  4 Sc 2.56
6 P 0.2500 0.7500 0.5000  4 Sc 2.56
7 Ga 0.0000 0.0000 0.0000  4 Sc 2.76
8 Ga 0.7500 0.2500 0.5000  4 Sc 2.76

[2]
Density functional theory data (PBE) for a relaxed structure of Ho4CuPd2.

## Properties
calculated formation energy: -525.8 meV/atom
raw total energy: -5.210 eV/atom
calculated volume: 165.60 Å³/cell

a b c (Å): 4.8768 5.9909 5.9909
angles (deg): 108.89 90.00 90.00
With the nearest neighbours (Å) after each atom.
Sites, in units of the cell vectors:
1 Pd 0.0000 0.7476 0.2524  8 Ho 2.98-3.01
2 Pd 0.0000 0.2524 0.7476  8 Ho 2.98-3.01
3 Ho 0.0000 0.7507 0.7507  4 Pd 2.98-3.01, 2 Cu 3.00
4 Ho 0.0000 0.2493 0.2493  4 Pd 2.98-3.01, 2 Cu 3.00
5 Ho 0.5000 0.0000 0.5000  2 Cu 3.00, 4 Pd 3.00
6 Ho 0.5000 0.5000 0.0000  2 Cu 3.00, 4 Pd 3.00
7 Cu 0.5000 0.5000 0.5000  8 Ho 3.00

[3]
Density functional theory data (PBE) for a relaxed structure of LiCd4Pt.

## Properties
calculated formation energy: -12.3 meV/atom
relative energy among the computed polymorphs: 221 meV per atom
raw total energy: -1.948 eV/atom
calculated volume: 122.16 Å³/cell

a b c (Å): 5.5695 5.5695 5.5695
angles (deg): 60.00 60.00 60.00
With the nearest neighbours (Å) after each atom.
Sites, in units of the cell vectors:
1 Li 0.7500 0.7500 0.7500  12 Cd 3.27, 4 Pt 3.41
2 Cd 0.8760 0.3747 0.3747  6 Cd 2.78-2.79
3 Cd 0.3747 0.3747 0.8760  6 Cd 2.78-2.79
4 Cd 0.3747 0.8760 0.3747  6 Cd 2.78-2.79
5 Cd 0.3747 0.3747 0.3747  6 Cd 2.78-2.79
6 Pt 0.0000 0.0000 0.0000  12 Cd 3.26, 4 Li 3.41

- Which of these has the lowest calculated formation energy?
  Sc2GaP